This record from Alexandria describes a relaxed BaAuO crystal. The functional is PBE.

Computed properties:
* calculated total energy: -4.871 eV/atom
* formation energy (no corrections): -1484 meV per atom
* energy relative to the lowest polymorph listed for this composition: 0.054 eV per atom
* SG: No. 2

a = 4.2763 Å, b = 5.2678 Å, c = 7.2567 Å
α = 109.31°, β = 105.09°, γ = 90.73°
Closest atoms and distances in Å follow each position.
Sites, in units of the cell vectors:
Ba (0.7295, 0.6768, 0.3420)  4 O 2.60-2.74
Au (0.2611, 0.0792, 0.1493)  1 O 2.20
Ba (0.2705, 0.3232, 0.6580)  4 O 2.60-2.74
O (0.3266, 0.7825, 0.5734)  1 Au 2.20
O (0.6734, 0.2175, 0.4266)  1 Au 2.20
Au (0.7389, 0.9208, 0.8507)  1 O 2.20

---

This record from Alexandria describes a relaxed BaAuO crystal. The functional is PBE.

Computed properties:
* calculated total energy: -4.875 eV/atom
* formation energy (no corrections): -1489 meV per atom
* energy relative to the lowest polymorph listed for this composition: 0.049 eV per atom
* SG: No. 129

a = 3.8461 Å, b = 3.8461 Å, c = 8.7757 Å
α = 90.00°, β = 90.00°, γ = 90.00°
Closest atoms and distances in Å follow each position.
Sites, in units of the cell vectors:
O (0.5000, 0.0000, 0.6424)  1 Au 2.66, 5 Ba 2.70-2.73
O (0.0000, 0.5000, 0.3576)  1 Au 2.66, 5 Ba 2.70-2.73
Ba (0.5000, 0.0000, 0.3344)  5 O 2.70-2.73
Au (0.5000, 0.0000, 0.9450)  1 O 2.66, 4 Au 2.89
Ba (0.0000, 0.5000, 0.6656)  5 O 2.70-2.73
Au (0.0000, 0.5000, 0.0550)  1 O 2.66, 4 Au 2.89